(1)
{"formula": "Cs2NaNiBr6", "functional": "PBE-GGA", "state": "optimized geometry", "energy_ev_per_cell": -29.7, "sg": "No. 225", "m_tot_mub_per_fu": 1.00, "vol_a3_per_cell": 321.3, "lattice": [[0.000, 5.436, 5.436], [5.436, 0.000, 5.436], [5.436, 5.436, 0.000]], "species": ["Br", "Br", "Br", "Br", "Br", "Br", "Cs", "Cs", "Ni", "Na"], "frac_coords": [[0.271, 0.729, 0.271], [0.729, 0.729, 0.271], [0.271, 0.729, 0.729], [0.271, 0.271, 0.729], [0.729, 0.271, 0.729], [0.729, 0.271, 0.271], [0.250, 0.250, 0.250], [0.750, 0.750, 0.750], [0.500, 0.500, 0.500], [0.000, 0.000, 0.000]]}

=====

(2)
{"formula": "CsNbBr3", "functional": "PBE-GGA", "state": "optimized geometry", "de_polymorph_mev_per_atom": 218, "sg": "No. 167", "m_tot_mub_per_fu": 3.00, "vol_a3_per_cell": 438.3, "lattice": [[4.527, 2.614, 6.173], [-4.527, 2.614, 6.173], [0.000, -5.227, 6.173]], "species": ["Cs", "Cs", "Br", "Br", "Br", "Br", "Br", "Br", "Nb", "Nb"], "frac_coords": [[0.000, 0.000, 0.000], [0.500, 0.500, 0.500], [0.750, 0.030, 0.470], [0.530, 0.250, 0.970], [0.970, 0.530, 0.250], [0.470, 0.750, 0.030], [0.250, 0.970, 0.530], [0.030, 0.470, 0.750], [0.750, 0.750, 0.750], [0.250, 0.250, 0.250]]}

=====

(3)
{"formula": "CsNbBr3", "functional": "PBE-GGA", "state": "optimized geometry", "de_polymorph_mev_per_atom": 2, "sg": "No. 167", "m_tot_mub_per_fu": 3.00, "vol_a3_per_cell": 326.9, "lattice": [[3.399, 5.199, 4.439], [7.551, -0.492, 1.013], [4.443, 5.244, -3.324]], "species": ["Br", "Br", "Br", "Br", "Br", "Br", "Cs", "Cs", "Nb", "Nb"], "frac_coords": [[0.300, 0.750, 0.200], [0.750, 0.200, 0.300], [0.800, 0.700, 0.250], [0.700, 0.250, 0.800], [0.250, 0.800, 0.700], [0.200, 0.300, 0.750], [0.250, 0.250, 0.250], [0.750, 0.750, 0.750], [0.000, 0.000, 0.000], [0.500, 0.500, 0.500]]}

=====

(4)
{"formula": "CsNbBr3", "functional": "PBE-GGA", "state": "optimized geometry", "de_polymorph_mev_per_atom": 0, "sg": "No. 62", "m_tot_mub_per_fu": 3.00, "vol_a3_per_cell": 651.9, "lattice": [[7.693, 0.000, 0.000], [0.000, 11.001, 0.000], [0.000, 0.000, 7.703]], "species": ["Cs", "Cs", "Cs", "Cs", "Br", "Br", "Br", "Br", "Br", "Br", "Br", "Br", "Br", "Br", "Br", "Br", "Nb", "Nb", "Nb", "Nb"], "frac_coords": [[0.542, 0.250, 0.510], [0.458, 0.750, 0.490], [0.042, 0.250, 0.990], [0.958, 0.750, 0.010], [0.713, 0.978, 0.287], [0.213, 0.978, 0.213], [0.213, 0.522, 0.213], [0.482, 0.750, 0.954], [0.982, 0.750, 0.546], [0.787, 0.022, 0.787], [0.018, 0.250, 0.454], [0.713, 0.522, 0.287], [0.287, 0.478, 0.713], [0.787, 0.478, 0.787], [0.518, 0.250, 0.046], [0.287, 0.022, 0.713], [0.500, 0.500, 0.000], [0.000, 0.000, 0.500], [0.000, 0.500, 0.500], [0.500, 0.000, 0.000]]}